1.
{
  "formula": "Sm3Y2ErS6",
  "functional": "PBE",
  "state": "optimized geometry",
  "volume_a3_per_fu": 262.3,
  "formation_energy_uncorrected_mev_per_atom": -2009,
  "sg": "C2/m, No. 12",
  "lattice": [[3.4089, -5.9258, 0.0000], [3.4089, 5.9258, 0.0000], [-2.2776, 0.0000, 6.4929]],
  "species": ["Sm", "Sm", "Sm", "Y", "Y", "Er", "S", "S", "S", "S", "S", "S"],
  "frac_coords": [[0.0000, 0.0000, 0.0000], [0.3317, 0.6683, 0.0000], [0.6683, 0.3317, 0.0000], [0.1669, 0.8331, 0.5000], [0.8331, 0.1669, 0.5000], [0.5000, 0.5000, 0.5000], [0.0903, 0.4204, 0.2610], [0.2499, 0.2499, 0.7403], [0.4204, 0.0903, 0.2610], [0.5796, 0.9097, 0.7390], [0.7501, 0.7501, 0.2597], [0.9097, 0.5796, 0.7390]]
}

2.
{
  "formula": "LaNpPdS4",
  "functional": "PBE",
  "state": "optimized geometry",
  "volume_a3_per_fu": 147.6,
  "formation_energy_uncorrected_mev_per_atom": -1297,
  "sg": "P2_1/m, No. 11",
  "lattice": [[6.7044, 0.0000, 0.0000], [0.0000, 5.7333, 0.0000], [-2.4776, 0.0000, 7.6782]],
  "species": ["La", "La", "Np", "Np", "Pd", "Pd", "S", "S", "S", "S", "S", "S", "S", "S"],
  "frac_coords": [[0.2415, 0.2500, 0.4381], [0.7585, 0.7500, 0.5619], [0.2465, 0.2500, 0.9382], [0.7535, 0.7500, 0.0618], [0.2677, 0.7500, 0.1918], [0.7323, 0.2500, 0.8082], [0.0564, 0.7500, 0.8948], [0.0566, 0.7500, 0.3824], [0.4627, 0.5234, 0.7604], [0.4627, 0.9766, 0.7604], [0.5373, 0.0234, 0.2396], [0.5373, 0.4766, 0.2396], [0.9434, 0.2500, 0.6176], [0.9436, 0.2500, 0.1052]]
}

3.
{
  "formula": "AcTb4Al4",
  "functional": "PBE",
  "state": "optimized geometry",
  "formation_energy_ev_per_atom": -0.091,
  "volume_a3_per_fu": 252.2,
  "sg": "P4_2/n, No. 86",
  "lattice": [[9.3021, 0.0000, 0.0000], [0.0000, 9.3021, 0.0000], [0.0000, 0.0000, 5.8284]],
  "species": ["Ac", "Ac", "Tb", "Tb", "Tb", "Tb", "Tb", "Tb", "Tb", "Tb", "Al", "Al", "Al", "Al", "Al", "Al", "Al", "Al"],
  "frac_coords": [[0.2500, 0.2500, 0.2500], [0.7500, 0.7500, 0.7500], [0.0994, 0.8344, 0.6200], [0.1656, 0.5994, 0.1200], [0.3344, 0.9006, 0.1200], [0.4006, 0.6656, 0.6200], [0.5994, 0.3344, 0.3800], [0.6656, 0.0994, 0.8800], [0.8344, 0.4006, 0.8800], [0.9006, 0.1656, 0.3800], [0.0129, 0.1194, 0.8701], [0.1194, 0.4871, 0.6299], [0.3806, 0.0129, 0.6299], [0.4871, 0.3806, 0.8701], [0.5129, 0.6194, 0.1299], [0.6194, 0.9871, 0.3701], [0.8806, 0.5129, 0.3701], [0.9871, 0.8806, 0.1299]]
}

4.
{
  "formula": "POs2Se",
  "functional": "PBE",
  "state": "optimized geometry",
  "volume_a3_per_fu": 61.2,
  "formation_energy_uncorrected_mev_per_atom": 1051,
  "relative_energy_mev_per_atom": 854,
  "sg": "F-43m, No. 216",
  "lattice": [[0.0000, 3.1273, 3.1273], [3.1273, 0.0000, 3.1273], [3.1273, 3.1273, 0.0000]],
  "species": ["P", "Os", "Os", "Se"],
  "frac_coords": [[0.0000, 0.0000, 0.0000], [0.5000, 0.5000, 0.5000], [0.7500, 0.7500, 0.7500], [0.2500, 0.2500, 0.2500]]
}

5.
{
  "formula": "Li3Pm2ThS6",
  "functional": "PBE",
  "state": "optimized geometry",
  "volume_a3_per_fu": 259.2,
  "formation_energy_uncorrected_mev_per_atom": -1748,
  "sg": "C2/m, No. 12",
  "lattice": [[3.4651, -6.0044, 0.0000], [3.4651, 6.0044, 0.0000], [-2.3065, 0.0000, 6.2290]],
  "species": ["Li", "Li", "Li", "Pm", "Pm", "Th", "S", "S", "S", "S", "S", "S"],
  "frac_coords": [[0.0000, 0.0000, 0.0000], [0.3318, 0.6682, 0.0000], [0.6682, 0.3318, 0.0000], [0.1666, 0.8334, 0.5000], [0.8334, 0.1666, 0.5000], [0.5000, 0.5000, 0.5000], [0.0835, 0.4132, 0.2391], [0.2568, 0.2568, 0.7595], [0.4132, 0.0835, 0.2391], [0.5868, 0.9165, 0.7609], [0.7432, 0.7432, 0.2405], [0.9165, 0.5868, 0.7609]]
}

6.
{
  "formula": "RbAl2TcBi",
  "functional": "PBE",
  "state": "optimized geometry",
  "formation_energy_ev_per_atom": 1.589,
  "volume_a3_per_fu": 205.2,
  "sg": "P4/mmm, No. 123",
  "lattice": [[5.5124, 0.0000, 0.0000], [0.0000, 5.5124, 0.0000], [0.0000, 0.0000, 6.7525]],
  "species": ["Rb", "Al", "Al", "Tc", "Bi"],
  "frac_coords": [[0.0000, 0.0000, 0.0000], [0.0000, 0.5000, 0.5000], [0.5000, 0.0000, 0.5000], [0.5000, 0.5000, 0.0000], [0.0000, 0.0000, 0.5000]]
}

7.
{
  "formula": "BaSr3Ta",
  "functional": "PBE",
  "state": "optimized geometry",
  "formation_energy_ev_per_atom": 1.873,
  "volume_a3_per_fu": 214.8,
  "relative_energy_mev_per_atom": 1078,
  "sg": "Pm-3m, No. 221",
  "lattice": [[5.9891, 0.0000, 0.0000], [0.0000, 5.9891, 0.0000], [0.0000, 0.0000, 5.9891]],
  "species": ["Ba", "Sr", "Sr", "Sr", "Ta"],
  "frac_coords": [[0.0000, 0.0000, 0.0000], [0.0000, 0.0000, 0.5000], [0.0000, 0.5000, 0.0000], [0.5000, 0.0000, 0.0000], [0.5000, 0.5000, 0.5000]]
}

8.
{
  "formula": "ScTlZn",
  "functional": "PBE",
  "state": "optimized geometry",
  "formation_energy_ev_per_atom": 0.161,
  "volume_a3_per_fu": 74.6,
  "sg": "F-43m, No. 216",
  "lattice": [[0.0000, 3.3405, 3.3405], [3.3405, 0.0000, 3.3405], [3.3405, 3.3405, 0.0000]],
  "species": ["Sc", "Tl", "Zn"],
  "frac_coords": [[0.0000, 0.0000, 0.0000], [0.2500, 0.2500, 0.2500], [0.7500, 0.7500, 0.7500]]
}